The following is a DFT calculation (PBE-GGA) of a relaxed TcOs2Au crystal.

Summary:
**Formation enthalpy at 0 K**: 0.386 eV/atom
**Theoretical density**: 18460 kg/m³
**Volume**: 15.19 Å³ per atom

CIF file:
```
data_TcOs2Au
_chemical_formula_sum 'Tc2 Os4 Au2'
_symmetry_space_group_name_H-M 'C 1 m 1'
_symmetry_Int_Tables_number 8
_symmetry_space_group_name_Hall 'C -2y'
_cell_length_a 9.229
_cell_length_b 2.782
_cell_length_c 4.804
_cell_angle_alpha 90.00
_cell_angle_beta 99.95
_cell_angle_gamma 90.00
loop_
_atom_site_label
_atom_site_fract_x
_atom_site_fract_y
_atom_site_fract_z
Tc1 0.000 0.000 0.000
Os1 0.018 0.500 0.542
Os2 0.256 0.000 0.765
Au1 0.258 0.500 0.267
```

=====

The following is a DFT calculation (PBE-GGA) of a relaxed Nd2Zn15Rh2 crystal.

Summary:
**Formation enthalpy at 0 K**: -0.306 eV/atom
**Theoretical density**: 7886 kg/m³
**Volume**: 16.35 Å³ per atom

CIF file:
```
data_Nd2Zn15Rh2
_chemical_formula_sum 'Nd6 Zn45 Rh6'
_symmetry_space_group_name_H-M 'R -3 m'
_symmetry_Int_Tables_number 166
_symmetry_space_group_name_Hall '-R 3 2"'
_cell_length_a 9.0507
_cell_length_b 9.0507
_cell_length_c 13.1388
_cell_angle_alpha 90.00
_cell_angle_beta 90.00
_cell_angle_gamma 120.00
loop_
_atom_site_label
_atom_site_fract_x
_atom_site_fract_y
_atom_site_fract_z
Nd1 0.0000 0.0000 0.1646
Zn1 0.0000 0.2814 0.5000
Zn2 0.0000 0.5000 0.0000
Zn3 0.9999 0.4999 0.3491
Rh1 0.0000 0.0000 0.3912
```